First-principles (GGA-PBE) data for an optimized crystal structure of La2Ga3Pt4Rh, as listed in Alexandria via LeMat-Bulk.

* total energy: -0.2184 hartree per atom
* formation energy from the elements: -899 meV per atom
* calculated volume: 19.60 Å³/atom
* symmetry: P-4m2

Geometry as POSCAR:
```
La2Ga3Pt4Rh
1.0
4.142 0.000 0.000
0.000 4.142 0.000
0.000 0.000 11.424
La Ga Pt Rh
2 3 4 1
Direct
0.000 0.500 0.240
0.500 0.000 0.760
0.000 0.000 0.000
0.000 0.500 0.629
0.500 0.000 0.371
0.000 0.000 0.500
0.000 0.500 0.848
0.500 0.000 0.152
0.500 0.500 0.500
0.500 0.500 0.000
```